DFT (GGA-PBE) results for a relaxed structure of MgHgSb2.

Values from the calculation:
crystal system	tetragonal
raw total energy	-10.02	eV per cell
E_form (uncorrected)	31	meV per atom
E above lowest polymorph	0.29	eV/f.u.
space group	I4/mmm (139)

Unit cell a=6.2055 b=6.2055 c=6.2055 alpha=138.52 beta=138.52 gamma=60.11
Last column: nearest neighbours and their distance in Å.
Fractional positions:
Mg (0.0000, 0.0000, 0.0000)  4 Hg 3.11, 8 Sb 3.47
Hg (0.5000, 0.5000, 0.0000)  4 Mg 3.11, 8 Sb 3.47
Sb (0.2500, 0.7500, 0.5000)  4 Sb 3.11, 4 Hg 3.47, 4 Mg 3.47
Sb (0.7500, 0.2500, 0.5000)  4 Sb 3.11, 4 Hg 3.47, 4 Mg 3.47

=====

DFT (GGA-PBE) results for a relaxed structure of CsSr2Tl2.

Values from the calculation:
crystal system	tetragonal
energy of formation from the pure elements	-13	meV/atom
raw total energy	-9.02	eV per cell
E above lowest polymorph	0.97	eV/f.u.
space group	I4/mmm (139)

Unit cell a=7.9950 b=7.9950 c=7.9950 alpha=133.81 beta=133.81 gamma=67.39
Last column: nearest neighbours and their distance in Å.
Fractional positions:
Cs (0.0000, 0.0000, 0.0000)  10 Sr 4.55-4.91, 8 Tl 4.57
Sr (0.3419, 0.3419, 0.0000)  4 Tl 3.37
Sr (0.6581, 0.6581, 0.0000)  4 Tl 3.37
Tl (0.2500, 0.7500, 0.5000)  4 Sr 3.37
Tl (0.7500, 0.2500, 0.5000)  4 Sr 3.37

=====

DFT (GGA-PBE) results for a relaxed structure of Li2ZnCl.

Values from the calculation:
crystal system	monoclinic
raw total energy	-9.45	eV per cell
E_form (uncorrected)	-625	meV per atom
E above lowest polymorph	0.59	eV/f.u.
space group	P2/m (10)

Unit cell a=3.7695 b=3.4761 c=6.2273 alpha=90.00 beta=103.47 gamma=90.00
Last column: nearest neighbours and their distance in Å.
Fractional positions:
Li (0.0000, 0.0000, 0.0000)  4 Cl 2.56
Li (0.5000, 0.5000, 0.5000)  4 Zn 2.56
Zn (0.0000, 0.0000, 0.5000)  4 Li 2.56
Cl (0.5000, 0.5000, 0.0000)  4 Li 2.56

=====

DFT (GGA-PBE) results for a relaxed structure of RhSe.

Values from the calculation:
crystal system	monoclinic
raw total energy	-22.79	eV per cell
E_form (uncorrected)	-279	meV per atom
space group	P2_1/m (11)

Unit cell a=3.9626 b=3.9055 c=6.0580 alpha=90.00 beta=108.62 gamma=90.00
Last column: nearest neighbours and their distance in Å.
Fractional positions:
Rh (0.2464, 0.2500, 0.4932)  4 Se 2.46-2.48
Rh (0.7536, 0.7500, 0.5068)  4 Se 2.46-2.48
Se (0.3778, 0.7500, 0.7603)  4 Rh 2.46-2.48
Se (0.6222, 0.2500, 0.2397)  4 Rh 2.46-2.48

=====

DFT (GGA-PBE) results for a relaxed structure of Li2ZnMo.

Values from the calculation:
crystal system	tetragonal
energy of formation from the pure elements	716	meV/atom
raw total energy	-26.13	eV per cell
space group	I-42d (122)

Unit cell a=5.4746 b=5.4746 c=5.4746 alpha=102.84 beta=102.84 gamma=123.74
Last column: nearest neighbours and their distance in Å.
Fractional positions:
Li (0.1027, 0.6250, 0.9777)  2 Zn 2.40, 2 Li 2.60, 2 Mo 2.61
Li (0.3750, 0.3527, 0.4777)  2 Zn 2.40, 2 Li 2.60, 2 Mo 2.61
Li (0.6473, 0.1250, 0.0223)  2 Zn 2.40, 2 Li 2.60, 2 Mo 2.61
Li (0.8750, 0.8973, 0.5223)  2 Zn 2.40, 2 Li 2.60, 2 Mo 2.61
Zn (0.0000, 0.0000, 0.0000)  4 Li 2.40, 2 Mo 2.58
Zn (0.7500, 0.2500, 0.5000)  4 Li 2.40, 2 Mo 2.58
Mo (0.2500, 0.7500, 0.5000)  2 Zn 2.58, 4 Li 2.61
Mo (0.5000, 0.5000, 0.0000)  2 Zn 2.58, 4 Li 2.61

=====

DFT (GGA-PBE) results for a relaxed structure of NaOsPt2Cl.

Values from the calculation:
crystal system	tetragonal
raw total energy	-20.64	eV per cell
E_form (uncorrected)	1167	meV per atom
space group	P4/mmm (123)

Unit cell a=4.7050 b=4.7050 c=4.2919 alpha=90.00 beta=90.00 gamma=90.00
Last column: nearest neighbours and their distance in Å.
Fractional positions:
Na (0.0000, 0.0000, 0.0000)  8 Pt 3.18, 4 Os 3.33
Os (0.5000, 0.5000, 0.0000)  2 Cl 2.15
Pt (0.0000, 0.5000, 0.5000)  2 Cl 2.35
Pt (0.5000, 0.0000, 0.5000)  2 Cl 2.35
Cl (0.5000, 0.5000, 0.5000)  2 Os 2.15, 4 Pt 2.35